Material: Ba4PtI2
Method: DFT, PBE-GGA
State: optimized geometry

Unit cell a=6.2613 b=6.2613 c=9.7881 alpha=71.35 beta=71.35 gamma=90.00
Fractional positions:
I 0.6154 0.6154 0.7691
I 0.3846 0.3846 0.2309
Ba 0.8174 0.8174 0.3652
Ba 0.1826 0.1826 0.6348
Ba 0.0000 0.5000 0.0000
Ba 0.5000 0.0000 0.0000
Pt 0.0000 0.0000 0.0000

Summary:
DFT total energy: -3.2930 eV per atom
space-group type: No. 139
D(E_F): 0.9315 states/eV/atom
ρ: 4.843 Mg/m³
M_tot: 0.6 μB per formula unit